The following is a DFT calculation (meta-GGA SCAN) of a PBEsol-optimized structure of Na3ZrPt.

energy relative to the elements: 1.76 eV per atom
final energy: -1.5398 Ry/atom
size of the total moment: 4.11 μB/cell
density of states at the Fermi level: 8.95 states/eV/cell
space group: Pm-3m, No. 221

Cell: 5.6290 5.6290 5.6290 Å, 90.00 90.00 90.00°
With the nearest neighbours (Å) after each atom.
Sites, in units of the cell vectors:
1 Na 0.0000 0.0000 0.5000  2 Zr 2.81
2 Na 0.0000 0.5000 0.0000  2 Zr 2.81
3 Pt 0.5000 0.5000 0.5000  12 Na 3.98
4 Zr 0.0000 0.0000 0.0000  6 Na 2.81
5 Na 0.5000 0.0000 0.0000  2 Zr 2.81

***

The following is a DFT calculation (meta-GGA SCAN) of a PBEsol-optimized structure of RbNaTaRe2.

energy relative to the elements: 1.70 eV per atom
final energy: -3.3105 Ry/atom
size of the total moment: 1.63 μB/cell
density of states at the Fermi level: 3.80 states/eV/cell
space group: P4/mmm, No. 123

Cell: 4.7834 4.7834 5.9263 Å, 90.00 90.00 90.00°
With the nearest neighbours (Å) after each atom.
Sites, in units of the cell vectors:
1 Ta 0.0000 0.0000 0.0000  4 Re 2.39
2 Re 0.0000 0.5000 0.0000  2 Ta 2.39
3 Rb 0.5000 0.5000 0.5000  4 Na 3.38
4 Re 0.5000 0.0000 0.0000  2 Ta 2.39
5 Na 0.0000 0.0000 0.5000  2 Ta 2.96

***

The following is a DFT calculation (meta-GGA SCAN) of a PBEsol-optimized structure of RbNaY2Re.

energy relative to the elements: 0.68 eV per atom
final energy: -2.1808 Ry/atom
size of the total moment: 1.04 μB/cell
density of states at the Fermi level: 2.93 states/eV/cell
space group: P4/mmm, No. 123

Cell: 5.2892 5.2892 6.7020 Å, 90.00 90.00 90.00°
With the nearest neighbours (Å) after each atom.
Sites, in units of the cell vectors:
1 Y 0.5000 0.0000 0.0000  2 Re 2.64
2 Na 0.5000 0.5000 0.5000  4 Rb 3.74
3 Y 0.0000 0.5000 0.0000  2 Re 2.64
4 Rb 0.0000 0.0000 0.5000  2 Re 3.35, 4 Na 3.74
5 Re 0.0000 0.0000 0.0000  4 Y 2.64

***

The following is a DFT calculation (meta-GGA SCAN) of a PBEsol-optimized structure of RbNa2S2.

ΔE_f (raw): -1.004 eV/atom
final energy: -0.7856 Ry/atom
size of the total moment: 0.99 μB/cell
density of states at the Fermi level: 0.48 states/eV/cell
space group: I4/mmm, No. 139

Cell: 4.6281 4.6281 6.7143 Å, 110.16 110.16 90.00°
With the nearest neighbours (Å) after each atom.
Sites, in units of the cell vectors:
1 S 0.3795 0.3795 0.7591  4 Na 2.77, 1 S 2.83
2 Rb 0.0000 0.0000 0.0000  8 S 3.56, 8 Na 3.73
3 Na 0.7500 0.2500 0.5000  4 S 2.77
4 S 0.6205 0.6205 0.2409  4 Na 2.77, 1 S 2.83
5 Na 0.2500 0.7500 0.5000  4 S 2.77

***

The following is a DFT calculation (meta-GGA SCAN) of a PBEsol-optimized structure of RbNa3S.

ΔE_f (raw): 0.599 eV/atom
final energy: -0.5882 Ry/atom
size of the total moment: 0.00 μB/cell
density of states at the Fermi level: 0.87 states/eV/cell
space group: Pm-3m, No. 221

Cell: 6.0449 6.0449 6.0449 Å, 90.00 90.00 90.00°
With the nearest neighbours (Å) after each atom.
Sites, in units of the cell vectors:
1 Na 0.5000 0.0000 0.0000  2 Rb 3.02
2 Rb 0.0000 0.0000 0.0000  6 Na 3.02
3 S 0.5000 0.5000 0.5000  12 Na 4.27
4 Na 0.0000 0.5000 0.0000  2 Rb 3.02
5 Na 0.0000 0.0000 0.5000  2 Rb 3.02

***

The following is a DFT calculation (meta-GGA SCAN) of a PBEsol-optimized structure of Rb3NaSb.

ΔE_f (raw): -0.114 eV/atom
final energy: -1.5326 Ry/atom
size of the total moment: 1.02 μB/cell
density of states at the Fermi level: 3.21 states/eV/cell
space group: Pm-3m, No. 221

Cell: 7.0352 7.0352 7.0352 Å, 90.00 90.00 90.00°
With the nearest neighbours (Å) after each atom.
Sites, in units of the cell vectors:
1 Rb 0.0000 0.5000 0.0000  2 Sb 3.52
2 Na 0.5000 0.5000 0.5000  12 Rb 4.97
3 Rb 0.0000 0.0000 0.5000  2 Sb 3.52
4 Rb 0.5000 0.0000 0.0000  2 Sb 3.52
5 Sb 0.0000 0.0000 0.0000  6 Rb 3.52

***

The following is a DFT calculation (meta-GGA SCAN) of a PBEsol-optimized structure of RbNa2Sb2.

ΔE_f (raw): -0.433 eV/atom
final energy: -1.5560 Ry/atom
size of the total moment: 0.00 μB/cell
energy relative to the lowest polymorph listed for this composition: 0.000 eV/atom
density of states at the Fermi level: 2.73 states/eV/cell
space group: I4/mmm, No. 139

Cell: 5.1806 5.1806 7.3652 Å, 110.59 110.59 90.00°
With the nearest neighbours (Å) after each atom.
Sites, in units of the cell vectors:
1 Sb 0.3922 0.3922 0.7844  1 Sb 2.76
2 Rb 0.0000 0.0000 0.0000  8 Sb 3.91, 8 Na 4.11
3 Sb 0.6078 0.6078 0.2156  1 Sb 2.76
4 Na 0.7500 0.2500 0.5000  4 Sb 3.16
5 Na 0.2500 0.7500 0.5000  4 Sb 3.16

***

The following is a DFT calculation (meta-GGA SCAN) of a PBEsol-optimized structure of RbNaSb3.

ΔE_f (raw): 1.091 eV/atom
final energy: -1.9298 Ry/atom
size of the total moment: 0.00 μB/cell
density of states at the Fermi level: 6.60 states/eV/cell
space group: Pm-3m, No. 221

Cell: 5.9697 5.9697 5.9697 Å, 90.00 90.00 90.00°
With the nearest neighbours (Å) after each atom.
Sites, in units of the cell vectors:
1 Sb 0.0000 0.5000 0.0000  2 Rb 2.98
2 Rb 0.0000 0.0000 0.0000  6 Sb 2.98
3 Sb 0.5000 0.0000 0.0000  2 Rb 2.98
4 Sb 0.0000 0.0000 0.5000  2 Rb 2.98
5 Na 0.5000 0.5000 0.5000  12 Sb 4.22

***

The following is a DFT calculation (meta-GGA SCAN) of a PBEsol-optimized structure of RbNa2Sb2.

ΔE_f (raw): -0.427 eV/atom
final energy: -1.5556 Ry/atom
size of the total moment: 0.00 μB/cell
energy relative to the lowest polymorph listed for this composition: 0.006 eV/atom
density of states at the Fermi level: 5.76 states/eV/cell
space group: P4/mbm, No. 127

Cell: 3.2219 9.5572 9.5572 Å, 90.00 90.00 90.00°
With the nearest neighbours (Å) after each atom.
Sites, in units of the cell vectors:
1 Na 0.0000 0.6221 0.1221  6 Sb 3.22-3.27, 3 Na 3.22-3.30
2 Sb 0.5000 0.6718 0.8282  6 Na 3.22-3.27, 2 Sb 3.22
3 Sb 0.5000 0.3282 0.1718  6 Na 3.22-3.27, 2 Sb 3.22
4 Rb 0.0000 0.0000 0.0000  2 Rb 3.22
5 Na 0.0000 0.3779 0.8779  6 Sb 3.22-3.27, 3 Na 3.22-3.30
6 Na 0.0000 0.1221 0.3779  6 Sb 3.22-3.27, 3 Na 3.22-3.30
7 Sb 0.5000 0.8282 0.3282  6 Na 3.22-3.27, 2 Sb 3.22
8 Na 0.0000 0.8779 0.6221  6 Sb 3.22-3.27, 3 Na 3.22-3.30
9 Rb 0.0000 0.5000 0.5000  2 Rb 3.22
10 Sb 0.5000 0.1718 0.6718  6 Na 3.22-3.27, 2 Sb 3.22

***

The following is a DFT calculation (meta-GGA SCAN) of a PBEsol-optimized structure of RbNaTcSb2.

ΔE_f (raw): 1.095 eV/atom
final energy: -1.8972 Ry/atom
size of the total moment: 4.79 μB/cell
density of states at the Fermi level: 2.66 states/eV/cell
space group: P4/mmm, No. 123

Cell: 5.1082 5.4720 5.4720 Å, 90.00 90.00 90.00°
With the nearest neighbours (Å) after each atom.
Sites, in units of the cell vectors:
1 Na 0.0000 0.0000 0.0000  2 Rb 2.55, 4 Sb 2.74
2 Sb 0.0000 0.0000 0.5000  2 Na 2.74
3 Tc 0.5000 0.5000 0.5000  8 Sb 3.74, 4 Rb 3.87
4 Rb 0.5000 0.0000 0.0000  2 Na 2.55
5 Sb 0.0000 0.5000 0.0000  2 Na 2.74

***

The following is a DFT calculation (meta-GGA SCAN) of a PBEsol-optimized structure of RbNaSnSe2.

ΔE_f (raw): 0.543 eV/atom
final energy: -1.4452 Ry/atom
size of the total moment: 0.00 μB/cell
density of states at the Fermi level: 3.02 states/eV/cell
space group: P4/mmm, No. 123

Cell: 5.8120 5.9814 5.9814 Å, 90.00 90.00 90.00°
With the nearest neighbours (Å) after each atom.
Sites, in units of the cell vectors:
1 Se 0.0000 0.5000 0.0000  2 Rb 2.99
2 Se 0.0000 0.0000 0.5000  2 Rb 2.99
3 Sn 0.5000 0.0000 0.0000  2 Rb 2.91
4 Na 0.5000 0.5000 0.5000  8 Se 4.17, 4 Sn 4.23
5 Rb 0.0000 0.0000 0.0000  2 Sn 2.91, 4 Se 2.99

***

The following is a DFT calculation (meta-GGA SCAN) of a PBEsol-optimized structure of RbNa2Si17.

ΔE_f (raw): -0.030 eV/atom
final energy: -0.7351 Ry/atom
size of the total moment: 0.00 μB/cell
density of states at the Fermi level: 8.95 states/eV/cell
space group: Fd-3m, No. 227

Cell: 10.4092 10.4092 10.4092 Å, 60.00 60.00 60.00°
With the nearest neighbours (Å) after each atom.
Sites, in units of the cell vectors:
1 Si 0.3897 0.6192 0.9956  4 Si 2.37-2.39
2 Si 0.8603 0.2544 0.2544  4 Si 2.37-2.39
3 Si 0.2544 0.6308 0.8603  4 Si 2.37-2.39
4 Si 0.8603 0.2544 0.6308  4 Si 2.37-2.39
5 Si 0.9956 0.6192 0.3897  4 Si 2.37-2.39
6 Si 0.2544 0.8603 0.6308  4 Si 2.37-2.39
7 Si 0.6192 0.9956 0.9956  4 Si 2.37-2.39
8 Si 0.9956 0.3897 0.6192  4 Si 2.37-2.39
9 Si 0.6308 0.8603 0.2544  4 Si 2.37-2.39
10 Si 0.6308 0.2544 0.8603  4 Si 2.37-2.39
11 Si 0.8426 0.4723 0.8426  4 Si 2.36-2.37
12 Si 0.4074 0.7777 0.4074  4 Si 2.36-2.37
13 Na 0.6250 0.6250 0.1250  20 Si 3.19-3.37
14 Si 0.8603 0.6308 0.2544  4 Si 2.37-2.39
15 Si 0.2544 0.2544 0.6308  4 Si 2.37-2.39
16 Si 0.6192 0.9956 0.3897  4 Si 2.37-2.39
17 Si 0.9956 0.9956 0.3897  4 Si 2.37-2.39
18 Si 0.8426 0.8426 0.8426  4 Si 2.36-2.37
19 Na 0.6250 0.1250 0.6250  20 Si 3.19-3.37
20 Si 0.3897 0.9956 0.9956  4 Si 2.37-2.39
21 Na 0.1250 0.6250 0.6250  20 Si 3.19-3.37
22 Rb 0.0000 0.0000 0.0000  28 Si 3.93-4.01
23 Si 0.6308 0.2544 0.2544  4 Si 2.37-2.39
24 Si 0.2544 0.6308 0.2544  4 Si 2.37-2.39
25 Si 0.2544 0.8603 0.2544  4 Si 2.37-2.39
26 Si 0.7777 0.4074 0.4074  4 Si 2.36-2.37
27 Si 0.4074 0.4074 0.4074  4 Si 2.36-2.37
28 Si 0.6192 0.3897 0.9956  4 Si 2.37-2.39
29 Si 0.9956 0.6192 0.9956  4 Si 2.37-2.39
30 Si 0.8426 0.8426 0.4723  4 Si 2.36-2.37
31 Si 0.4723 0.8426 0.8426  4 Si 2.36-2.37
32 Si 0.9956 0.3897 0.9956  4 Si 2.37-2.39
33 Si 0.4074 0.4074 0.7777  4 Si 2.36-2.37
34 Si 0.9956 0.9956 0.6192  4 Si 2.37-2.39
35 Si 0.3897 0.9956 0.6192  4 Si 2.37-2.39
36 Si 0.2544 0.2544 0.8603  4 Si 2.37-2.39
37 Si 0.5000 0.5000 0.5000  4 Si 2.36
38 Si 0.7500 0.7500 0.7500  4 Si 2.36
39 Rb 0.2500 0.2500 0.2500  28 Si 3.93-4.01
40 Na 0.6250 0.6250 0.6250  20 Si 3.19-3.37

***

The following is a DFT calculation (meta-GGA SCAN) of a PBEsol-optimized structure of RbNa3Si.

ΔE_f (raw): 1.033 eV/atom
final energy: -0.5620 Ry/atom
size of the total moment: 0.00 μB/cell
density of states at the Fermi level: 3.58 states/eV/cell
space group: Pm-3m, No. 221

Cell: 5.8005 5.8005 5.8005 Å, 90.00 90.00 90.00°
With the nearest neighbours (Å) after each atom.
Sites, in units of the cell vectors:
1 Na 0.5000 0.0000 0.0000  2 Rb 2.90
2 Na 0.0000 0.0000 0.5000  2 Rb 2.90
3 Si 0.5000 0.5000 0.5000  12 Na 4.10
4 Rb 0.0000 0.0000 0.0000  6 Na 2.90
5 Na 0.0000 0.5000 0.0000  2 Rb 2.90

***

The following is a DFT calculation (meta-GGA SCAN) of a PBEsol-optimized structure of Rb2NaTiSi.

ΔE_f (raw): 1.330 eV/atom
final energy: -0.9568 Ry/atom
size of the total moment: 5.22 μB/cell
density of states at the Fermi level: 2.42 states/eV/cell
space group: P4/mmm, No. 123

Cell: 5.8565 6.3634 6.3634 Å, 90.00 90.00 90.00°
With the nearest neighbours (Å) after each atom.
Sites, in units of the cell vectors:
1 Na 0.5000 0.0000 0.0000  2 Ti 2.93
2 Ti 0.0000 0.0000 0.0000  2 Na 2.93, 4 Rb 3.18
3 Rb 0.0000 0.0000 0.5000  2 Ti 3.18
4 Rb 0.0000 0.5000 0.0000  2 Ti 3.18
5 Si 0.5000 0.5000 0.5000  8 Rb 4.32, 4 Na 4.50

***

The following is a DFT calculation (meta-GGA SCAN) of a PBEsol-optimized structure of RbNa2Sn2.

energy relative to the elements: -0.19 eV per atom
final energy: -1.4987 Ry/atom
size of the total moment: 0.00 μB/cell
density of states at the Fermi level: 1.62 states/eV/cell
space group: I4/mmm, No. 139

Cell: 5.7604 5.7604 6.6663 Å, 115.60 115.60 90.00°
With the nearest neighbours (Å) after each atom.
Sites, in units of the cell vectors:
1 Na 0.2500 0.7500 0.5000  4 Sn 3.16
2 Sn 0.3732 0.3732 0.7464  1 Sn 2.68
3 Na 0.7500 0.2500 0.5000  4 Sn 3.16
4 Sn 0.6268 0.6268 0.2536  1 Sn 2.68
5 Rb 0.0000 0.0000 0.0000  8 Na 3.91, 10 Sn 3.94-4.29

***

The following is a DFT calculation (meta-GGA SCAN) of a PBEsol-optimized structure of RbNa3Te.

ΔE_f (raw): 0.367 eV/atom
final energy: -1.0113 Ry/atom
size of the total moment: 0.00 μB/cell
density of states at the Fermi level: 0.48 states/eV/cell
space group: Pm-3m, No. 221

Cell: 6.0771 6.0771 6.0771 Å, 90.00 90.00 90.00°
With the nearest neighbours (Å) after each atom.
Sites, in units of the cell vectors:
1 Na 0.0000 0.5000 0.0000  2 Rb 3.04
2 Na 0.0000 0.0000 0.5000  2 Rb 3.04
3 Te 0.5000 0.5000 0.5000  12 Na 4.30
4 Rb 0.0000 0.0000 0.0000  6 Na 3.04
5 Na 0.5000 0.0000 0.0000  2 Rb 3.04

***

The following is a DFT calculation (meta-GGA SCAN) of a PBEsol-optimized structure of RbNa2Tl2.

energy relative to the elements: -0.14 eV per atom
final energy: -2.5661 Ry/atom
size of the total moment: 0.00 μB/cell
energy relative to the lowest polymorph listed for this composition: 0.000 eV/atom
density of states at the Fermi level: 5.83 states/eV/cell
space group: P4/mbm, No. 127

Cell: 3.5325 9.5803 9.5803 Å, 90.00 90.00 90.00°
With the nearest neighbours (Å) after each atom.
Sites, in units of the cell vectors:
1 Tl 0.0000 0.1154 0.3846  1 Tl 3.13, 6 Na 3.33-3.36
2 Na 0.5000 0.6739 0.8261  6 Tl 3.33-3.36, 2 Na 3.53
3 Tl 0.0000 0.6154 0.1154  1 Tl 3.13, 6 Na 3.33-3.36
4 Na 0.5000 0.8261 0.3261  6 Tl 3.33-3.36, 2 Na 3.53
5 Rb 0.0000 0.0000 0.0000  2 Rb 3.53, 4 Tl 3.85
6 Na 0.5000 0.1739 0.6739  6 Tl 3.33-3.36, 2 Na 3.53
7 Rb 0.0000 0.5000 0.5000  2 Rb 3.53, 4 Tl 3.85
8 Tl 0.0000 0.8846 0.6154  1 Tl 3.13, 6 Na 3.33-3.36
9 Tl 0.0000 0.3846 0.8846  1 Tl 3.13, 6 Na 3.33-3.36
10 Na 0.5000 0.3261 0.1739  6 Tl 3.33-3.36, 2 Na 3.53

***

The following is a DFT calculation (meta-GGA SCAN) of a PBEsol-optimized structure of Rb2NaTl2.

energy relative to the elements: -0.10 eV per atom
final energy: -2.8060 Ry/atom
size of the total moment: 0.00 μB/cell
density of states at the Fermi level: 5.84 states/eV/cell
space group: P4/mbm, No. 127

Cell: 6.0915 8.2818 8.2818 Å, 90.00 90.00 90.00°
With the nearest neighbours (Å) after each atom.
Sites, in units of the cell vectors:
1 Rb 0.5000 0.1788 0.6788  6 Tl 3.81-3.98, 1 Rb 4.19
2 Rb 0.5000 0.6788 0.8212  6 Tl 3.81-3.98, 1 Rb 4.19
3 Na 0.0000 0.0000 0.0000  4 Tl 3.27
4 Rb 0.5000 0.8212 0.3212  6 Tl 3.81-3.98, 1 Rb 4.19
5 Tl 0.0000 0.3747 0.8747  1 Tl 2.93, 2 Na 3.27
6 Tl 0.0000 0.1253 0.3747  1 Tl 2.93, 2 Na 3.27
7 Rb 0.5000 0.3212 0.1788  6 Tl 3.81-3.98, 1 Rb 4.19
8 Na 0.0000 0.5000 0.5000  4 Tl 3.27
9 Tl 0.0000 0.8747 0.6253  1 Tl 2.93, 2 Na 3.27
10 Tl 0.0000 0.6253 0.1253  1 Tl 2.93, 2 Na 3.27

***

The following is a DFT calculation (meta-GGA SCAN) of a PBEsol-optimized structure of RbNa2Tl2.

energy relative to the elements: -0.11 eV per atom
final energy: -2.5638 Ry/atom
size of the total moment: 0.00 μB/cell
energy relative to the lowest polymorph listed for this composition: 0.031 eV/atom
density of states at the Fermi level: 3.01 states/eV/cell
space group: I4/mmm, No. 139

Cell: 5.1216 5.1216 7.8502 Å, 109.04 109.04 90.00°
With the nearest neighbours (Å) after each atom.
Sites, in units of the cell vectors:
1 Rb 0.0000 0.0000 0.0000  8 Tl 3.91, 8 Na 4.32
2 Tl 0.6064 0.6064 0.2129  1 Tl 2.97, 4 Na 3.25
3 Tl 0.3936 0.3936 0.7871  1 Tl 2.97, 4 Na 3.25
4 Na 0.7500 0.2500 0.5000  4 Tl 3.25, 4 Na 3.62
5 Na 0.2500 0.7500 0.5000  4 Tl 3.25, 4 Na 3.62

***

The following is a DFT calculation (meta-GGA SCAN) of a PBEsol-optimized structure of RbNaTl2.

energy relative to the elements: -0.04 eV per atom
final energy: -3.1205 Ry/atom
size of the total moment: 0.00 μB/cell
density of states at the Fermi level: 2.91 states/eV/cell
space group: Fm-3m, No. 225

Cell: 5.7183 5.7183 5.7183 Å, 60.00 60.00 60.00°
With the nearest neighbours (Å) after each atom.
Sites, in units of the cell vectors:
1 Rb 0.5000 0.5000 0.5000  8 Tl 3.50
2 Tl 0.2500 0.2500 0.2500  4 Na 3.50, 4 Rb 3.50
3 Tl 0.7500 0.7500 0.7500  4 Na 3.50, 4 Rb 3.50
4 Na 0.0000 0.0000 0.0000  8 Tl 3.50